1.
DFT (PBE) results for a relaxed structure of AcTb6Pr3Er2.

Values from the calculation:
The calculation puts the formation energy at 27 meV/atom.

abc: 6.2785 6.2785 12.0036
angles: 94.99 94.99 119.99
Closest atoms and distances in Å follow each position.
Fractional positions:
Er 0.6668 0.3332 0.0000  6 Tb 3.61-3.62, 3 Ac 3.62-3.63, 3 Er 3.62-3.63
Tb 0.9164 0.5798 0.7504  6 Tb 3.61-3.66, 2 Er 3.61, 3 Pr 3.61-3.63, 1 Ac 3.63
Tb 0.2530 0.2530 0.7501  6 Tb 3.61-3.66, 3 Pr 3.61-3.63, 2 Er 3.62, 1 Ac 3.63
Tb 0.4202 0.0836 0.2496  6 Tb 3.61-3.66, 2 Er 3.61, 3 Pr 3.61-3.63, 1 Ac 3.63
Ac 0.0000 0.0000 0.0000  6 Er 3.62-3.63, 6 Tb 3.63
Pr 0.5000 0.5000 0.5000  6 Tb 3.61-3.63, 6 Pr 3.62-3.63
Pr 0.1671 0.8329 0.5000  6 Tb 3.61-3.63, 6 Pr 3.62-3.63
Tb 0.7470 0.7470 0.2499  6 Tb 3.61-3.66, 3 Pr 3.61-3.63, 2 Er 3.62, 1 Ac 3.63
Tb 0.0836 0.4202 0.2496  6 Tb 3.61-3.66, 2 Er 3.61, 3 Pr 3.61-3.63, 1 Ac 3.63
Pr 0.8329 0.1671 0.5000  6 Tb 3.61-3.63, 6 Pr 3.62-3.63
Er 0.3332 0.6668 0.0000  6 Tb 3.61-3.62, 3 Ac 3.62-3.63, 3 Er 3.62-3.63
Tb 0.5798 0.9164 0.7504  6 Tb 3.61-3.66, 2 Er 3.61, 3 Pr 3.61-3.63, 1 Ac 3.63


2.
DFT (PBE) results for a relaxed structure of KLi2CaPt.

Values from the calculation:
The calculation puts the formation energy at -202 meV/atom.

abc: 5.2612 5.2612 5.4232
angles: 90.00 90.00 90.00
Closest atoms and distances in Å follow each position.
Fractional positions:
Li 0.5000 0.0000 0.0000  2 Pt 2.63
K 0.5000 0.5000 0.5000  4 Ca 3.72, 8 Li 3.78
Pt 0.0000 0.0000 0.0000  4 Li 2.63, 2 Ca 2.71
Li 0.0000 0.5000 0.0000  2 Pt 2.63
Ca 0.0000 0.0000 0.5000  2 Pt 2.71